Density functional theory data (meta-GGA SCAN) for Cs3HgCl at its PBEsol-relaxed geometry.

The structure in CIF format:
```
data_Cs3HgCl
_cell_length_a 6.5799
_cell_length_b 6.5799
_cell_length_c 6.5799
_cell_angle_alpha 90.00
_cell_angle_beta 90.00
_cell_angle_gamma 90.00
_space_group_name_H-M_alt 'P 1'
_space_group_IT_number 1
_space_group_name_Hall 'P 1'
loop_
_atom_site_label
_atom_site_type_symbol
_atom_site_fract_x
_atom_site_fract_y
_atom_site_fract_z
_atom_site_occupancy
Cs1 Cs 0.0000 0.0000 0.5000 1
Cs2 Cs 0.0000 0.5000 0.0000 1
Cs3 Cs 0.5000 0.0000 0.0000 1
Hg1 Hg 0.5000 0.5000 0.5000 1
Cl1 Cl 0.0000 0.0000 0.0000 1
```

- volume (Å³ per atom) = 57.0
- energy relative to the elements, uncorrected (eV/atom) = -0.88
- DFT total energy (eV per atom) = -38.79
- crystal system = cubic
- DOS at the Fermi energy (states/eV per atom) = 0.748